# K2LiTc

Crystalline K2LiTc at its relaxed geometry (PBE, Alexandria).

a = 2.8313 Å, b = 4.4814 Å, c = 9.8836 Å
α = 90.00°, β = 90.00°, γ = 90.00°
Last column: nearest neighbours and their distance in Å.
Sites, in units of the cell vectors:
K  0.5000  0.5000  0.3317  2 K 2.83
Tc  0.5000  0.5000  0.6677  4 Li 2.77, 2 Tc 2.83
K  0.0000  0.0000  0.9144  2 K 2.83
Li  0.0000  0.0000  0.5862  4 Tc 2.77, 2 Li 2.83

Calculated values
Symmetry = Pmm2, No. 25
Formation energy = 0.915 eV/atom
DOS at the Fermi energy = 0.823 states/eV per atom
Offset from the most stable computed form = 0.005 eV per atom

***

# Ba3LaO

Crystalline Ba3LaO at its relaxed geometry (PBE, Alexandria).

a = 6.2899 Å, b = 6.2899 Å, c = 6.2899 Å
α = 90.00°, β = 90.00°, γ = 90.00°
Last column: nearest neighbours and their distance in Å.
Sites, in units of the cell vectors:
O  0.5000  0.5000  0.5000  12 Ba 4.45
Ba  0.5000  0.0000  0.0000  2 La 3.14
Ba  0.0000  0.5000  0.0000  2 La 3.14
Ba  0.0000  0.0000  0.5000  2 La 3.14
La  0.0000  0.0000  0.0000  6 Ba 3.14

Calculated values
E_form (uncorrected) = 376 kJ/mol of formula units
Symmetry = Pm-3m, No. 221
DOS at the Fermi energy = 1.328 states/eV per atom
Offset from the most stable computed form = 1.525 eV per atom

***

# NiBPt2

Crystalline NiBPt2 at its relaxed geometry (PBE, Alexandria).

a = 5.4869 Å, b = 6.6908 Å, c = 5.4585 Å
α = 90.00°, β = 90.00°, γ = 90.00°
Last column: nearest neighbours and their distance in Å.
Sites, in units of the cell vectors:
Ni  0.0625  0.5024  0.0022  1 B 2.00
B  0.5626  0.5990  0.3427  1 Ni 2.00, 2 Pt 2.19
Pt  0.8123  0.1789  0.8612  3 B 2.19-2.31
Pt  0.3123  0.8211  0.1388  3 B 2.19-2.31
Ni  0.0625  0.9976  0.5022  1 B 2.00
Pt  0.3128  0.1789  0.8612  3 B 2.19-2.31
B  0.5626  0.9010  0.8427  1 Ni 2.00, 2 Pt 2.19
Pt  0.3128  0.3211  0.3612  3 B 2.19-2.31
B  0.0626  0.0990  0.1573  1 Ni 2.00, 2 Pt 2.19
Ni  0.5625  0.4976  0.9978  1 B 2.00
B  0.0626  0.4010  0.6573  1 Ni 2.00, 2 Pt 2.19
Pt  0.3123  0.6789  0.6388  3 B 2.19-2.31
Ni  0.5625  0.0024  0.4978  1 B 2.00
Pt  0.8128  0.8211  0.1388  3 B 2.19-2.31
Pt  0.8128  0.6789  0.6388  3 B 2.19-2.31
Pt  0.8123  0.3211  0.3612  3 B 2.19-2.31

Calculated values
Symmetry = Pnma, No. 62
Formation energy = -0.212 eV/atom
DOS at the Fermi energy = 0.719 states/eV per atom

***

# Zr3GeRh

Crystalline Zr3GeRh at its relaxed geometry (PBE, Alexandria).

a = 4.9894 Å, b = 4.9894 Å, c = 4.9894 Å
α = 90.00°, β = 90.00°, γ = 90.00°
Last column: nearest neighbours and their distance in Å.
Sites, in units of the cell vectors:
Ge  0.5000  0.5000  0.5000  12 Zr 3.53
Zr  0.5000  0.0000  0.0000  2 Rh 2.49
Zr  0.0000  0.5000  0.0000  2 Rh 2.49
Zr  0.0000  0.0000  0.5000  2 Rh 2.49
Rh  0.0000  0.0000  0.0000  6 Zr 2.49

Calculated values
Symmetry = Pm-3m, No. 221
Formation energy = 0.166 eV/atom
DOS at the Fermi energy = 1.184 states/eV per atom
Offset from the most stable computed form = 0.000 eV per atom

***

# Er2UAg2Se6

Crystalline Er2UAg2Se6 at its relaxed geometry (PBE, Alexandria).

a = 7.2285 Å, b = 7.2285 Å, c = 6.8094 Å
α = 94.92°, β = 94.92°, γ = 120.48°
Last column: nearest neighbours and their distance in Å.
Sites, in units of the cell vectors:
Se  0.0359  0.3732  0.7280  1 Ag 2.64, 2 Er 2.84, 1 U 2.87
Se  0.3732  0.0359  0.7280  1 Ag 2.64, 2 Er 2.84, 1 U 2.87
Ag  0.1160  0.8840  0.0000  4 Se 2.64-2.93, 1 Ag 2.91
Er  0.3341  0.6659  0.5000  6 Se 2.84-2.86
Se  0.2948  0.2948  0.2682  1 U 2.85, 2 Er 2.86, 2 Ag 2.93
Se  0.6268  0.9641  0.2720  1 Ag 2.64, 2 Er 2.84, 1 U 2.87
Er  0.6659  0.3341  0.5000  6 Se 2.84-2.86
Ag  0.8840  0.1160  0.0000  4 Se 2.64-2.93, 1 Ag 2.91
Se  0.7052  0.7052  0.7318  1 U 2.85, 2 Er 2.86, 2 Ag 2.93
U  0.0000  0.0000  0.5000  6 Se 2.85-2.87
Se  0.9641  0.6268  0.2720  1 Ag 2.64, 2 Er 2.84, 1 U 2.87

Calculated values
E_form (uncorrected) = -1228 kJ/mol of formula units
Symmetry = C2/m, No. 12
DOS at the Fermi energy = 0.594 states/eV per atom

***

# K4DyTh3Te8

Crystalline K4DyTh3Te8 at its relaxed geometry (PBE, Alexandria).

a = 8.9414 Å, b = 9.8984 Å, c = 8.9421 Å
α = 116.87°, β = 120.00°, γ = 90.00°
Last column: nearest neighbours and their distance in Å.
Sites, in units of the cell vectors:
Te  0.2361  0.7166  0.4722  1 Dy 3.13, 2 Th 3.18
Dy  0.0000  0.5000  0.0000  6 Te 3.13
Te  0.2555  0.2834  0.0194  1 Dy 3.13, 2 Th 3.18
K  0.0000  0.0000  0.0000  6 Te 3.49-3.50
K  0.0000  0.0000  0.5000  6 Te 3.49-3.50
Te  0.7640  0.2834  0.0194  1 Dy 3.13, 2 Th 3.18
K  0.5000  0.0000  0.5000  6 Te 3.49-3.50
Th  0.0000  0.5000  0.5000  6 Te 3.18-3.19
Th  0.5000  0.5000  0.0000  6 Te 3.18-3.19
Te  0.2360  0.7166  0.9806  1 Dy 3.13, 2 Th 3.18
Te  0.7408  0.7223  0.4815  3 Th 3.19, 3 K 3.49
Th  0.5000  0.5000  0.5000  6 Te 3.18-3.19
Te  0.7639  0.2834  0.5278  1 Dy 3.13, 2 Th 3.18
Te  0.2592  0.2777  0.5185  3 Th 3.19, 3 K 3.49
Te  0.7445  0.7166  0.9806  1 Dy 3.13, 2 Th 3.18
K  0.5000  0.0000  0.0000  6 Te 3.55

Calculated values
E_form (uncorrected) = -1889 kJ/mol of formula units
Symmetry = R-3m, No. 166
DOS at the Fermi energy = 0.633 states/eV per atom

***

We obtain volume values of 31.351; 49.770; 12.525; 24.841; 27.455; 36.544 Å³/atom for the records listed above, in that order.